No. 1
NaCu2O3 GGA-PBEsol relaxed; final energy = -61.50 eV per cell; ΔE_f (raw) = -0.822 eV per atom; distance to the lowest polymorph of the same formula = 0.000 eV/atom; SG = Pmmn (59)
1.0
3.7525 0.0000 0.0000
0.0000 3.8537 0.0000
0.0000 0.0000 9.9996
O Cu Na
6 4 2
Cartesian
0.0000 3.5586 1.7554
0.0000 3.5586 8.2442
1.8762 0.2951 6.7552
1.8762 0.2951 3.2444
1.8762 2.4311 0.0000
0.0000 1.4226 4.9998
0.0000 0.5468 3.4159
1.8762 3.3068 8.4157
0.0000 0.5468 6.5838
1.8762 3.3068 1.5839
1.8762 2.5790 4.9998
0.0000 1.2747 0.0000

=====

No. 2
RbAg5S3 GGA-PBEsol relaxed; final energy = -200.20 eV per cell; ΔE_f (raw) = -0.293 eV per atom; SG = P-62c (190)
1.0
-1.3465 6.9600 3.6151
-3.4717 -6.3786 10.9873
12.5678 3.4335 -1.9292
Ag S Rb
30 18 6
Cartesian
-1.8778 -3.4501 5.9429
8.5929 4.1520 -0.4138
0.0019 1.8611 5.1758
4.4193 1.3008 12.2791
8.7451 8.7035 4.0171
-2.5511 0.0299 7.7505
3.5028 2.1279 5.9662
4.3238 3.0094 0.1958
10.9366 2.8090 3.0446
5.3935 -0.1099 6.5997
6.7978 1.8572 -1.0435
5.5702 -2.8948 7.6481
2.9955 3.6924 2.7651
2.3222 7.1724 4.5726
0.6752 -1.6188 3.3683
4.8969 0.5851 9.4556
6.1245 5.3372 0.7640
4.1761 -1.3521 4.1586
0.1748 0.1174 12.9764
-1.2944 -1.3299 10.8365
-0.6211 -4.8098 9.0290
-3.4176 0.6964 10.5235
-2.2891 2.8558 6.7865
4.7088 3.3631 8.4164
1.5929 4.3391 5.3766
9.4184 5.2236 2.2096
7.2301 2.0125 7.5768
6.5569 5.4924 9.3843
9.7133 0.6475 6.7505
2.3477 0.9090 3.5035
6.4673 -1.0699 8.8478
-0.9459 1.0135 10.8337
-1.7653 -3.6411 10.7317
3.0407 -0.1923 5.8820
4.1607 4.3847 6.2454
1.4881 5.4632 3.1736
-0.9660 -1.6141 7.1269
2.5397 -2.2972 9.7478
4.4484 1.8411 2.4913
8.6759 3.0077 1.8200
8.5064 5.2448 6.2082
7.5296 0.8596 5.5288
0.2468 3.1627 7.1402
3.2937 2.1601 10.2053
5.9670 6.5190 2.8091
-0.0876 0.6074 3.1771
7.0916 3.2039 9.6104
10.0544 7.4814 2.4787
1.2025 0.3669 8.4866
1.8738 -3.1027 6.6845
-0.6733 3.4800 1.8075
6.5470 3.6480 4.1865
0.0000 0.0000 0.0000
5.8757 7.1176 5.9886